1.
The following is a PBE-GGA calculation of crystalline CdTcRh at its relaxed geometry, from Alexandria via LeMat-Bulk.

Output
Volume = 48.3 Å³/cell
Offset from the most stable computed form = 179 meV per atom
Theoretical density = 10.8 g/cm3
Crystal system = trigonal
Total moment = 0.00 μB/cell
DFT formation energy = 0.4 eV per formula unit

```
CdTcRh
1.0
-1.0075 -2.5547 0.6450
2.1392 0.2540 -1.8212
4.5647 -0.4628 5.2974
Cd Rh Tc
1 1 1
direct
0.0000 0.0000 0.0025
0.6667 0.3333 0.3528
0.3333 0.6667 0.6447
```



2.
The following is a PBE-GGA calculation of crystalline KMg2S2 at its relaxed geometry, from Alexandria via LeMat-Bulk.

Output
Volume = 135.9 Å³/cell
Theoretical density = 1.9 g/cm3
Crystal system = tetragonal
Total moment = 0.00 μB/cell
E_form (uncorrected) = -0.9478 eV/atom

```
KMg2S2
1.0
-0.4983 -4.2066 -1.1385
2.2932 -1.2275 3.5318
-5.0695 -3.0294 4.9625
S Mg K
2 2 1
direct
0.6565 0.6565 0.6870
0.3435 0.3435 0.3130
0.7500 0.2500 0.5000
0.2500 0.7500 0.5000
0.0000 0.0000 0.0000
```